Entry 1:
# YNbGe3

An optimized crystal structure of YNbGe3 (PBE-GGA, the Alexandria database).

Properties
final energy	-4.69	eV per atom
total magnetic moment	0.2	μB/f.u.

a b c (Å): 5.153 5.153 5.153
angles (deg): 90.00 90.00 90.00
Positions (direct):
Y (0.000, 0.000, 0.000)
Nb (0.500, 0.500, 0.500)
Ge (0.000, 0.500, 0.000)
Ge (0.000, 0.000, 0.500)
Ge (0.500, 0.000, 0.000)

Entry 2:
# Pr2NdHg8

An optimized crystal structure of Pr2NdHg8 (PBE-GGA, the Alexandria database).

Properties
total magnetic moment	0.0	μB/f.u.
relative energy among the computed polymorphs	0.000	eV/atom

a b c (Å): 5.126 7.361 8.527
angles (deg): 109.25 107.49 90.00
Positions (direct):
Pr (0.792, 0.347, 0.583)
Pr (0.208, 0.653, 0.417)
Nd (0.500, 0.000, 0.000)
Hg (0.407, 0.544, 0.815)
Hg (0.671, 0.897, 0.341)
Hg (0.848, 0.833, 0.696)
Hg (0.980, 0.273, 0.961)
Hg (0.152, 0.167, 0.304)
Hg (0.329, 0.103, 0.659)
Hg (0.593, 0.456, 0.185)
Hg (0.020, 0.727, 0.039)

Entry 3:
# Tm2ScS2O2

An optimized crystal structure of Tm2ScS2O2 (PBE-GGA, the Alexandria database).

Properties
total magnetic moment	0.0	μB/f.u.
E_form (uncorrected)	-2468	meV per atom

a b c (Å): 3.995 3.995 7.648
angles (deg): 105.14 105.14 90.00
Positions (direct):
Tm (0.371, 0.371, 0.741)
Tm (0.629, 0.629, 0.259)
Sc (0.000, 0.000, 0.000)
S (0.180, 0.180, 0.359)
S (0.820, 0.820, 0.641)
O (0.000, 0.500, 0.000)
O (0.500, 0.000, 0.000)

Entry 4:
# Sm4Hg2Pb

An optimized crystal structure of Sm4Hg2Pb (PBE-GGA, the Alexandria database).

Properties
final energy	-3.62	eV per atom
total magnetic moment	1.3	μB/f.u.

a b c (Å): 5.317 5.317 9.230
angles (deg): 73.26 73.26 60.00
Positions (direct):
Sm (0.871, 0.871, 0.388)
Sm (0.129, 0.129, 0.612)
Sm (0.618, 0.618, 0.146)
Sm (0.382, 0.382, 0.854)
Hg (0.752, 0.752, 0.745)
Hg (0.248, 0.248, 0.255)
Pb (0.000, 0.000, 0.000)

Entry 5:
# TlPdBrCl2

An optimized crystal structure of TlPdBrCl2 (PBE-GGA, the Alexandria database).

Properties
total magnetic moment	0.0	μB/f.u.
E_form (uncorrected)	-611	meV per atom

a b c (Å): 4.965 4.965 5.256
angles (deg): 90.00 90.00 90.00
Positions (direct):
Tl (0.500, 0.500, 0.500)
Br (0.000, 0.000, 0.500)
Pd (0.000, 0.000, 0.000)
Cl (0.000, 0.500, 0.000)
Cl (0.500, 0.000, 0.000)